Computed, not measured: CoPb3O6 after structural relaxation at the PBE with a Hubbard U level of DFT.

The value obtained for the spin magnetization is 2.903 μB/f.u. As for the total DFT energy (no corrections): -5.32 eV/atom.

The structure belongs to space group I4/mmm (No. 139); the cell edges are 5.658, 5.658 and 8.079 Å and the angles 90.00°, 90.00° and 90.00°. The asymmetric unit holds Co at (0.000, 0.000, 0.000), Pb at (0.000, 0.000, 0.500), Pb at (0.000, 0.500, 0.250), O at (0.000, 0.000, 0.237) and O at (0.233, 0.233, 0.000).